1.
The following is a DFT calculation (GGA-PBEsol) of KSrSn2Br after structural relaxation.

Lattice parameters (Å, degrees): 5.870 5.870 5.637 90.00 90.00 90.00
Atoms (fractional coordinates):
K (0.000, 0.000, 0.000)
Sr (0.500, 0.500, 0.500)
Sn (0.000, 0.500, 0.000)
Sn (0.500, 0.000, 0.000)
Br (0.000, 0.000, 0.500)

- size of the total moment (μB/f.u.) = 1.40
- SG = P4/mmm
- formation energy without anion corrections (eV per atom) = 0.166

2.
The following is a DFT calculation (GGA-PBEsol) of KSr2Br5 after structural relaxation.

Lattice parameters (Å, degrees): 9.228 8.211 13.188 90.00 90.00 90.00
Atoms (fractional coordinates):
K (0.008, 0.043, 0.329)
K (0.008, 0.457, 0.829)
K (0.992, 0.543, 0.171)
K (0.992, 0.957, 0.671)
Sr (0.249, 0.571, 0.493)
Sr (0.249, 0.929, 0.993)
Sr (0.499, 0.525, 0.178)
Sr (0.499, 0.975, 0.678)
Sr (0.501, 0.025, 0.322)
Sr (0.501, 0.475, 0.822)
Sr (0.751, 0.071, 0.007)
Sr (0.751, 0.429, 0.507)
Br (0.039, 0.171, 0.091)
Br (0.039, 0.329, 0.591)
Br (0.268, 0.693, 0.718)
Br (0.268, 0.807, 0.218)
Br (0.279, 0.543, 0.998)
Br (0.279, 0.957, 0.498)
Br (0.281, 0.169, 0.816)
Br (0.281, 0.331, 0.316)
Br (0.460, 0.162, 0.099)
Br (0.460, 0.338, 0.599)
Br (0.540, 0.662, 0.401)
Br (0.540, 0.838, 0.901)
Br (0.719, 0.669, 0.684)
Br (0.719, 0.831, 0.184)
Br (0.721, 0.043, 0.502)
Br (0.721, 0.457, 0.002)
Br (0.732, 0.193, 0.782)
Br (0.732, 0.307, 0.282)
Br (0.961, 0.671, 0.409)
Br (0.961, 0.829, 0.909)

- size of the total moment (μB/f.u.) = 0.06
- SG = P2_1/c
- formation energy without anion corrections (eV per atom) = -2.042

3.
The following is a DFT calculation (GGA-PBEsol) of KSrBr after structural relaxation.

Lattice parameters (Å, degrees): 3.946 3.946 15.295 90.00 90.00 90.00
Atoms (fractional coordinates):
K (0.000, 0.000, 0.000)
K (0.500, 0.500, 0.500)
Sr (0.000, 0.000, 0.278)
Sr (0.500, 0.500, 0.778)
Br (0.000, 0.000, 0.650)
Br (0.500, 0.500, 0.150)

- size of the total moment (μB/f.u.) = 0.00
- SG = I4mm
- formation energy without anion corrections (eV per atom) = -0.915

4.
The following is a DFT calculation (GGA-PBEsol) of KSrBr4 after structural relaxation.

Lattice parameters (Å, degrees): 6.479 6.479 6.479 60.00 60.00 60.00
Atoms (fractional coordinates):
K (0.000, 0.000, 0.000)
Sr (0.250, 0.250, 0.250)
Br (0.126, 0.625, 0.625)
Br (0.625, 0.126, 0.625)
Br (0.625, 0.625, 0.126)
Br (0.625, 0.625, 0.625)

- size of the total moment (μB/f.u.) = 0.98
- SG = F-43m
- formation energy without anion corrections (eV per atom) = -0.822

5.
The following is a DFT calculation (GGA-PBEsol) of K2TaBr after structural relaxation.

Lattice parameters (Å, degrees): 3.255 3.255 10.444 90.00 90.00 90.00
Atoms (fractional coordinates):
K (0.000, 0.000, 0.207)
K (0.000, 0.000, 0.793)
Ta (0.500, 0.500, 0.500)
Br (0.500, 0.500, 0.000)

- size of the total moment (μB/f.u.) = 1.60
- SG = P4/mmm
- formation energy without anion corrections (eV per atom) = 0.368

6.
The following is a DFT calculation (GGA-PBEsol) of K2TaBr after structural relaxation.

Lattice parameters (Å, degrees): 3.375 6.048 6.756 90.00 90.00 90.00
Atoms (fractional coordinates):
K (0.000, 0.000, 0.000)
K (0.500, 0.500, 0.490)
Ta (0.000, 0.000, 0.501)
Br (0.500, 0.500, 0.994)

- size of the total moment (μB/f.u.) = 4.43
- SG = Pmm2
- formation energy without anion corrections (eV per atom) = 0.799

7.
The following is a DFT calculation (GGA-PBEsol) of K2TaBr after structural relaxation.

Lattice parameters (Å, degrees): 3.226 6.088 12.683 90.00 90.00 90.00
Atoms (fractional coordinates):
K (0.000, 0.000, 0.000)
K (0.000, 0.500, 0.192)
K (0.500, 0.000, 0.692)
K (0.500, 0.500, 0.500)
Ta (0.000, 0.500, 0.791)
Ta (0.500, 0.000, 0.291)
Br (0.000, 0.000, 0.461)
Br (0.500, 0.500, 0.961)

- size of the total moment (μB/f.u.) = 2.66
- SG = Imm2
- formation energy without anion corrections (eV per atom) = 0.567

8.
The following is a DFT calculation (GGA-PBEsol) of KTc2Br after structural relaxation.

Lattice parameters (Å, degrees): 5.350 11.414 3.198 90.00 126.53 90.00
Atoms (fractional coordinates):
K (0.000, 0.000, 0.000)
K (0.500, 0.500, 0.000)
Tc (0.250, 0.250, 0.000)
Tc (0.250, 0.750, 0.000)
Tc (0.750, 0.250, 0.000)
Tc (0.750, 0.750, 0.000)
Br (0.000, 0.500, 0.000)
Br (0.500, 0.000, 0.000)

- size of the total moment (μB/f.u.) = 0.00
- SG = C2/m
- formation energy without anion corrections (eV per atom) = 1.084

9.
The following is a DFT calculation (GGA-PBEsol) of K2TcBr6 after structural relaxation.

Lattice parameters (Å, degrees): 7.258 7.258 7.258 60.00 60.00 60.00
Atoms (fractional coordinates):
K (0.250, 0.250, 0.250)
K (0.750, 0.750, 0.750)
Tc (0.000, 0.000, 0.000)
Br (0.243, 0.243, 0.757)
Br (0.243, 0.757, 0.243)
Br (0.243, 0.757, 0.757)
Br (0.757, 0.243, 0.243)
Br (0.757, 0.243, 0.757)
Br (0.757, 0.757, 0.243)

- size of the total moment (μB/f.u.) = 3.00
- SG = Fm-3m
- formation energy without anion corrections (eV per atom) = -1.010

10.
The following is a DFT calculation (GGA-PBEsol) of KTc2Br after structural relaxation.

Lattice parameters (Å, degrees): 6.938 6.938 6.938 90.00 90.00 90.00
Atoms (fractional coordinates):
K (0.000, 0.000, 0.000)
K (0.000, 0.500, 0.500)
K (0.500, 0.000, 0.500)
K (0.500, 0.500, 0.000)
Tc (0.250, 0.250, 0.250)
Tc (0.250, 0.250, 0.750)
Tc (0.250, 0.750, 0.250)
Tc (0.250, 0.750, 0.750)
Tc (0.750, 0.250, 0.250)
Tc (0.750, 0.250, 0.750)
Tc (0.750, 0.750, 0.250)
Tc (0.750, 0.750, 0.750)
Br (0.000, 0.000, 0.500)
Br (0.000, 0.500, 0.000)
Br (0.500, 0.000, 0.000)
Br (0.500, 0.500, 0.500)

- size of the total moment (μB/f.u.) = 6.67
- SG = Fm-3m
- formation energy without anion corrections (eV per atom) = 2.050

11.
The following is a DFT calculation (GGA-PBEsol) of KTe2Br after structural relaxation.

Lattice parameters (Å, degrees): 3.720 3.720 32.244 90.00 90.00 120.00
Atoms (fractional coordinates):
K (0.000, 0.000, 0.000)
K (0.333, 0.667, 0.667)
K (0.667, 0.333, 0.333)
Te (0.000, 0.000, 0.416)
Te (0.000, 0.000, 0.584)
Te (0.333, 0.667, 0.083)
Te (0.333, 0.667, 0.251)
Te (0.667, 0.333, 0.749)
Te (0.667, 0.333, 0.917)
Br (0.000, 0.000, 0.500)
Br (0.333, 0.667, 0.167)
Br (0.667, 0.333, 0.833)

- size of the total moment (μB/f.u.) = 0.00
- SG = R-3m
- formation energy without anion corrections (eV per atom) = -0.078

12.
The following is a DFT calculation (GGA-PBEsol) of KTe2Br after structural relaxation.

Lattice parameters (Å, degrees): 4.286 4.286 14.933 90.00 90.00 90.00
Atoms (fractional coordinates):
K (0.000, 0.000, 0.000)
K (0.500, 0.500, 0.500)
Te (0.000, 0.500, 0.250)
Te (0.000, 0.500, 0.750)
Te (0.500, 0.000, 0.250)
Te (0.500, 0.000, 0.750)
Br (0.000, 0.000, 0.500)
Br (0.500, 0.500, 0.000)

- size of the total moment (μB/f.u.) = 0.00
- SG = I4/mmm
- formation energy without anion corrections (eV per atom) = -0.672